Entry 1:
DFT (GGA-PBE) results for a relaxed structure of MgCuHgGe.

Summary:
Density = 8.2 g/cm3
Energy relative to the lowest polymorph listed for this composition = 0 meV per atom
Space group = No. 216

a b c (Å): 4.687 4.687 4.687
angles (deg): 60.00 60.00 60.00
Fractional coordinates of all 4 atoms:
Mg  0.000  0.000  0.000
Cu  0.500  0.500  0.500
Hg  0.750  0.750  0.750
Ge  0.250  0.250  0.250


Entry 2:
DFT (GGA-PBE) results for a relaxed structure of Ho2Tm2O5.

Summary:
Density = 9.0 g/cm3
Energy relative to the lowest polymorph listed for this composition = 0 meV per atom
Space group = No. 123

a b c (Å): 3.847 3.847 9.348
angles (deg): 90.00 90.00 90.00
Fractional coordinates of all 9 atoms:
Ho  0.000  0.000  0.000
Ho  0.000  0.000  0.500
Tm  0.500  0.500  0.242
Tm  0.500  0.500  0.758
O  0.000  0.500  0.146
O  0.000  0.500  0.854
O  0.500  0.000  0.146
O  0.500  0.000  0.854
O  0.500  0.500  0.500


Entry 3:
DFT (GGA-PBE) results for a relaxed structure of HoTaN2O.

Summary:
Density = 10.6 g/cm3
VASP energy = -383.055 eV for the cell shown
Space group = No. 14

a b c (Å): 7.867 7.867 10.930
angles (deg): 90.00 133.65 90.00
Fractional coordinates of all 40 atoms:
Ho  0.058  0.242  0.029
Ho  0.058  0.258  0.529
Ho  0.441  0.743  0.471
Ho  0.441  0.757  0.971
Ho  0.559  0.243  0.029
Ho  0.559  0.257  0.529
Ho  0.942  0.742  0.471
Ho  0.942  0.758  0.971
Ta  0.018  0.005  0.262
Ta  0.018  0.495  0.762
Ta  0.486  0.505  0.233
Ta  0.486  0.995  0.733
Ta  0.514  0.005  0.267
Ta  0.514  0.495  0.767
Ta  0.982  0.505  0.238
Ta  0.982  0.995  0.738
N  0.036  0.750  0.218
N  0.036  0.750  0.718
N  0.184  0.553  0.000
N  0.184  0.947  0.500
N  0.308  0.051  0.308
N  0.308  0.449  0.808
N  0.462  0.250  0.182
N  0.462  0.250  0.682
N  0.538  0.750  0.318
N  0.538  0.750  0.818
N  0.692  0.551  0.192
N  0.692  0.949  0.692
N  0.816  0.053  0.500
N  0.816  0.447  0.000
N  0.964  0.250  0.282
N  0.964  0.250  0.782
O  0.192  0.552  0.500
O  0.192  0.948  0.000
O  0.317  0.049  0.819
O  0.317  0.451  0.319
O  0.683  0.549  0.681
O  0.683  0.951  0.181
O  0.808  0.052  0.000
O  0.808  0.448  0.500


Entry 4:
DFT (GGA-PBE) results for a relaxed structure of BaHoNO.

Summary:
Density = 6.4 g/cm3
Energy relative to the lowest polymorph listed for this composition = 135 meV per atom
Space group = No. 29

a b c (Å): 6.689 8.532 6.074
angles (deg): 90.00 90.00 90.00
Fractional coordinates of all 16 atoms:
Ba  0.070  0.133  0.000
Ba  0.430  0.133  0.500
Ba  0.570  0.867  0.000
Ba  0.930  0.867  0.500
Ho  0.086  0.607  0.984
Ho  0.414  0.607  0.484
Ho  0.586  0.393  0.984
Ho  0.914  0.393  0.484
N  0.032  0.169  0.552
N  0.468  0.169  0.052
N  0.532  0.831  0.552
N  0.968  0.831  0.052
O  0.111  0.577  0.624
O  0.389  0.577  0.124
O  0.611  0.423  0.624
O  0.889  0.423  0.124